An optimized crystal structure of Tb3Nd2, computed with PBE.

abc: 5.105 6.245 6.260
angles: 80.45 65.93 65.87
Element x y z (fractional)
1 Tb 0.200 0.699 0.901
2 Tb 0.000 0.500 0.500
3 Tb 0.800 0.301 0.099
4 Nd 0.401 0.898 0.300
5 Nd 0.599 0.102 0.700

As for the total magnetization: 0.0 μB/f.u. The value obtained for the density of states at the Fermi level is 1.44 states/eV/atom. The total DFT energy (no corrections) comes out at -4.67 eV per atom. The formation energy is 16.8 meV/atom.